# PBE ZrCo, optimized geometry
data_ZrCo
_chemical_formula_sum 'Zr8 Co8'
_space_group_name_H-M_alt 'I 4/m m m'
_space_group_IT_number 139
_space_group_name_Hall '-I 4 2'
_cell_length_a 7.936
_cell_length_b 7.936
_cell_length_c 4.236
_cell_angle_alpha 90.00
_cell_angle_beta 90.00
_cell_angle_gamma 90.00
loop_
_atom_site_label
_atom_site_type_symbol
_atom_site_fract_x
_atom_site_fract_y
_atom_site_fract_z
Zr1 Zr 0.000 0.290 0.000
Co1 Co 0.161 0.161 0.500
# Total moment = 0.00 μB per cell
# ΔE_f = -0.097 eV/atom

=====

# PBE ZrCo5, optimized geometry
data_ZrCo5
_chemical_formula_sum 'Zr1 Co5'
_space_group_name_H-M_alt 'P 6/m m m'
_space_group_IT_number 191
_space_group_name_Hall '-P 6 2'
_cell_length_a 4.7645
_cell_length_b 4.7645
_cell_length_c 3.9585
_cell_angle_alpha 90.00
_cell_angle_beta 90.00
_cell_angle_gamma 120.00
loop_
_atom_site_label
_atom_site_type_symbol
_atom_site_fract_x
_atom_site_fract_y
_atom_site_fract_z
Zr1 Zr 0.0000 0.0000 0.0000
Co1 Co 0.0000 0.5000 0.5000
Co2 Co 0.3333 0.6667 0.0000
# Total moment = 6.31 μB per cell
# ΔE_f = -0.117 eV/atom

=====

# PBE Zr3Co, optimized geometry
data_Zr3Co
_chemical_formula_sum 'Zr9 Co3'
_space_group_name_H-M_alt 'R -3 m'
_space_group_IT_number 166
_space_group_name_Hall '-R 3 2"'
_cell_length_a 3.2575
_cell_length_b 3.2575
_cell_length_c 26.5533
_cell_angle_alpha 90.00
_cell_angle_beta 90.00
_cell_angle_gamma 120.00
loop_
_atom_site_label
_atom_site_type_symbol
_atom_site_fract_x
_atom_site_fract_y
_atom_site_fract_z
Zr1 Zr 0.0000 0.0000 0.0000
Zr2 Zr 0.0000 0.0000 0.2344
Co1 Co 0.0000 0.0000 0.5000
# Total moment = 0.00 μB per cell
# ΔE_f = 0.036 eV/atom

=====

# PBE Zr3Co, optimized geometry
data_Zr3Co
_chemical_formula_sum 'Zr24 Co8'
_space_group_name_H-M_alt 'I -4 2 m'
_space_group_IT_number 121
_space_group_name_Hall 'I -4 2'
_cell_length_a 10.528
_cell_length_b 10.528
_cell_length_c 5.664
_cell_angle_alpha 90.00
_cell_angle_beta 90.00
_cell_angle_gamma 90.00
loop_
_atom_site_label
_atom_site_type_symbol
_atom_site_fract_x
_atom_site_fract_y
_atom_site_fract_z
Zr1 Zr 0.000 0.358 0.000
Zr2 Zr 0.097 0.097 0.246
Zr3 Zr 0.202 0.202 0.740
Co1 Co 0.000 0.295 0.500
# Total moment = 0.00 μB per cell
# ΔE_f = -0.171 eV/atom

=====

# PBE ZrCo, optimized geometry
data_ZrCo
_chemical_formula_sum 'Zr8 Co8'
_space_group_name_H-M_alt 'P 21 21 21'
_space_group_IT_number 19
_space_group_name_Hall 'P 2ac 2ab'
_cell_length_a 5.017
_cell_length_b 5.133
_cell_length_c 10.127
_cell_angle_alpha 90.00
_cell_angle_beta 90.00
_cell_angle_gamma 90.00
loop_
_atom_site_label
_atom_site_type_symbol
_atom_site_fract_x
_atom_site_fract_y
_atom_site_fract_z
Zr1 Zr 0.142 0.073 0.016
Zr2 Zr 0.155 0.621 0.802
Co1 Co 0.147 0.880 0.269
Co2 Co 0.156 0.584 0.066
# Total moment = 0.00 μB per cell
# ΔE_f = -0.286 eV/atom

=====

# PBE Zr3Co, optimized geometry
data_Zr3Co
_chemical_formula_sum 'Zr9 Co3'
_space_group_name_H-M_alt 'R -3 m'
_space_group_IT_number 166
_space_group_name_Hall '-R 3 2"'
_cell_length_a 9.2268
_cell_length_b 9.2268
_cell_length_c 3.1496
_cell_angle_alpha 90.00
_cell_angle_beta 90.00
_cell_angle_gamma 120.00
loop_
_atom_site_label
_atom_site_type_symbol
_atom_site_fract_x
_atom_site_fract_y
_atom_site_fract_z
Zr1 Zr 0.0000 0.5000 0.0000
Co1 Co 0.0000 0.0000 0.0000
# Total moment = 0.73 μB per cell
# ΔE_f = 0.147 eV/atom

=====

# PBE Zr4Co5, optimized geometry
data_Zr4Co5
_chemical_formula_sum 'Zr8 Co10'
_space_group_name_H-M_alt 'P 63/m c m'
_space_group_IT_number 193
_space_group_name_Hall '-P 6c 2'
_cell_length_a 7.7114
_cell_length_b 7.7114
_cell_length_c 5.4227
_cell_angle_alpha 90.00
_cell_angle_beta 90.00
_cell_angle_gamma 120.00
loop_
_atom_site_label
_atom_site_type_symbol
_atom_site_fract_x
_atom_site_fract_y
_atom_site_fract_z
Zr1 Zr 0.0000 0.0000 0.0000
Zr2 Zr 0.0000 0.3733 0.2500
Co1 Co 0.0000 0.3081 0.7500
Co2 Co 0.3333 0.6667 0.0000
# Excess energy over the best structure of this formula in the dataset = 43 meV/atom
# Total moment = 0.00 μB per cell
# ΔE_f = -0.136 eV/atom

=====

# PBE ZrCo6, optimized geometry
data_ZrCo6
_chemical_formula_sum 'Zr1 Co6'
_space_group_name_H-M_alt 'P m -3 m'
_space_group_IT_number 221
_space_group_name_Hall '-P 4 2 3'
_cell_length_a 5.228
_cell_length_b 5.228
_cell_length_c 5.228
_cell_angle_alpha 90.00
_cell_angle_beta 90.00
_cell_angle_gamma 90.00
loop_
_atom_site_label
_atom_site_type_symbol
_atom_site_fract_x
_atom_site_fract_y
_atom_site_fract_z
Zr1 Zr 0.000 0.000 0.000
Co1 Co 0.195 0.500 0.500
# Excess energy over the best structure of this formula in the dataset = 1498 meV/atom
# Total moment = 8.61 μB per cell
# ΔE_f = 1.379 eV/atom

=====

# PBE CsCrCu2, optimized geometry
data_CsCrCu2
_chemical_formula_sum 'Cs4 Cr4 Cu8'
_space_group_name_H-M_alt 'F m -3 m'
_space_group_IT_number 225
_space_group_name_Hall '-F 4 2 3'
_cell_length_a 7.346
_cell_length_b 7.346
_cell_length_c 7.346
_cell_angle_alpha 90.00
_cell_angle_beta 90.00
_cell_angle_gamma 90.00
loop_
_atom_site_label
_atom_site_type_symbol
_atom_site_fract_x
_atom_site_fract_y
_atom_site_fract_z
Cs1 Cs 0.000 0.000 0.000
Cr1 Cr 0.000 0.000 0.500
Cu1 Cu 0.250 0.250 0.250
# Total moment = 18.63 μB per cell
# ΔE_f = 1.180 eV/atom

=====

# PBE CsCr3Cu, optimized geometry
data_CsCr3Cu
_chemical_formula_sum 'Cs1 Cr3 Cu1'
_space_group_name_H-M_alt 'P m -3 m'
_space_group_IT_number 221
_space_group_name_Hall '-P 4 2 3'
_cell_length_a 5.048
_cell_length_b 5.048
_cell_length_c 5.048
_cell_angle_alpha 90.00
_cell_angle_beta 90.00
_cell_angle_gamma 90.00
loop_
_atom_site_label
_atom_site_type_symbol
_atom_site_fract_x
_atom_site_fract_y
_atom_site_fract_z
Cs1 Cs 0.000 0.000 0.000
Cr1 Cr 0.000 0.500 0.500
Cu1 Cu 0.500 0.500 0.500
# Excess energy over the best structure of this formula in the dataset = 0 meV/atom
# Total moment = 13.79 μB per cell
# ΔE_f = 1.322 eV/atom

=====

# PBE CsCr3Cu, optimized geometry
data_CsCr3Cu
_chemical_formula_sum 'Cs1 Cr3 Cu1'
_space_group_name_H-M_alt 'P m -3 m'
_space_group_IT_number 221
_space_group_name_Hall '-P 4 2 3'
_cell_length_a 5.016
_cell_length_b 5.016
_cell_length_c 5.016
_cell_angle_alpha 90.00
_cell_angle_beta 90.00
_cell_angle_gamma 90.00
loop_
_atom_site_label
_atom_site_type_symbol
_atom_site_fract_x
_atom_site_fract_y
_atom_site_fract_z
Cs1 Cs 0.000 0.000 0.000
Cr1 Cr 0.000 0.000 0.500
Cu1 Cu 0.500 0.500 0.500
# Excess energy over the best structure of this formula in the dataset = 1479 meV/atom
# Total moment = 11.01 μB per cell
# ΔE_f = 2.801 eV/atom

=====

# PBE CsCr2Cu, optimized geometry
data_CsCr2Cu
_chemical_formula_sum 'Cs4 Cr8 Cu4'
_space_group_name_H-M_alt 'F m -3 m'
_space_group_IT_number 225
_space_group_name_Hall '-F 4 2 3'
_cell_length_a 7.334
_cell_length_b 7.334
_cell_length_c 7.334
_cell_angle_alpha 90.00
_cell_angle_beta 90.00
_cell_angle_gamma 90.00
loop_
_atom_site_label
_atom_site_type_symbol
_atom_site_fract_x
_atom_site_fract_y
_atom_site_fract_z
Cs1 Cs 0.000 0.000 0.000
Cr1 Cr 0.250 0.250 0.250
Cu1 Cu 0.000 0.000 0.500
# Total moment = 36.94 μB per cell
# ΔE_f = 1.558 eV/atom

=====

# PBE CsCrCu, optimized geometry
data_CsCrCu
_chemical_formula_sum 'Cs4 Cr4 Cu4'
_space_group_name_H-M_alt 'P n m a'
_space_group_IT_number 62
_space_group_name_Hall '-P 2ac 2n'
_cell_length_a 9.043
_cell_length_b 3.269
_cell_length_c 11.912
_cell_angle_alpha 90.00
_cell_angle_beta 90.00
_cell_angle_gamma 90.00
loop_
_atom_site_label
_atom_site_type_symbol
_atom_site_fract_x
_atom_site_fract_y
_atom_site_fract_z
Cs1 Cs 0.077 0.250 0.177
Cr1 Cr 0.066 0.250 0.529
Cu1 Cu 0.218 0.750 0.423
# Excess energy over the best structure of this formula in the dataset = 0 meV/atom
# Total moment = 0.00 μB per cell
# ΔE_f = 0.942 eV/atom

=====

# PBE CsCrCu, optimized geometry
data_CsCrCu
_chemical_formula_sum 'Cs4 Cr4 Cu4'
_space_group_name_H-M_alt 'P n m a'
_space_group_IT_number 62
_space_group_name_Hall '-P 2ac 2n'
_cell_length_a 11.878
_cell_length_b 3.247
_cell_length_c 9.174
_cell_angle_alpha 90.00
_cell_angle_beta 90.00
_cell_angle_gamma 90.00
loop_
_atom_site_label
_atom_site_type_symbol
_atom_site_fract_x
_atom_site_fract_y
_atom_site_fract_z
Cs1 Cs 0.179 0.250 0.080
Cr1 Cr 0.031 0.250 0.435
Cu1 Cu 0.070 0.250 0.720
# Excess energy over the best structure of this formula in the dataset = 3 meV/atom
# Total moment = 0.00 μB per cell
# ΔE_f = 0.945 eV/atom